A geometry-optimized Mg2SbBr structure. Source: Alexandria, functional PBE.

```
4
Lattice="0.0000 3.7154 3.7154 3.7154 0.0000 3.7154 3.7154 3.7154 0.0000" Properties=species:S:1:pos:R:3 pbc="T T T"
Mg 0.0000 0.0000 0.0000
Mg 1.8577 1.8577 1.8577
Sb 5.5731 5.5731 5.5731
Br 3.7154 3.7154 3.7154
```

Energy relative to the elements, uncorrected, eV per atom: 0.030
Offset from the most stable computed form, meV/atom: 664
V, Å³/cell: 103
VASP energy, eV/atom: -2.22